[1]
TcSeO2F at its PBEsol-relaxed geometry. Source: the Alexandria database, functional SCAN.

a = 3.908 Å, b = 3.908 Å, c = 4.400 Å
α = 90.00°, β = 90.00°, γ = 90.00°
Site moments in Bohr magnetons follow the coordinates.
Fractional coordinates of all 5 atoms:
F: 0.000 0.000 0.500  0.05
O: 0.500 0.000 0.000  0.07
O: 0.000 0.500 0.000  0.07
Se: 0.000 0.000 0.000  0.03
Tc: 0.500 0.500 0.500  4.24

## Properties
Formation energy without anion corrections in eV/atom: 0.008
Crystal system: tetragonal
E in eV for the cell shown: -71.10
N(E_F) in states/eV/atom: 0.36
Total magnetization in μB/atom: 0.959
Space group: P4/mmm (123)

***

[2]
Be2TlCl at its PBEsol-relaxed geometry. Source: the Alexandria database, functional SCAN.

a = 3.145 Å, b = 3.400 Å, c = 7.374 Å
α = 90.00°, β = 90.00°, γ = 117.55°
Fractional coordinates of all 4 atoms:
Be: 0.000 0.000 0.737
Be: 0.000 0.000 0.263
Tl: 0.500 0.000 0.000
Cl: 0.500 0.000 0.500

## Properties
Formation energy without anion corrections in eV/atom: 0.443
Crystal system: orthorhombic
E in eV for the cell shown: -87.27
N(E_F) in states/eV/atom: 0.33
Total magnetization in μB/atom: 0.000
Space group: Cmmm (65)

***

[3]
LiCaF2 at its PBEsol-relaxed geometry. Source: the Alexandria database, functional SCAN.

a = 5.026 Å, b = 5.026 Å, c = 6.303 Å
α = 113.49°, β = 113.49°, γ = 90.00°
Fractional coordinates of all 8 atoms:
F: 0.125 0.159 0.750
F: 0.409 0.875 0.250
F: 0.841 0.375 0.250
F: 0.625 0.591 0.750
Ca: 0.000 0.000 0.000
Ca: 0.250 0.750 0.500
Li: 0.750 0.250 0.500
Li: 0.500 0.500 0.000

## Properties
Formation energy without anion corrections in eV/atom: -2.716
Crystal system: tetragonal
E in eV for the cell shown: -59.99
N(E_F) in states/eV/atom: 0.19
Total magnetization in μB/atom: 0.000
Space group: I-42d (122)

***

[4]
SmMg2Cu at its PBEsol-relaxed geometry. Source: the Alexandria database, functional SCAN.

a = 4.343 Å, b = 5.388 Å, c = 7.976 Å
α = 90.00°, β = 90.00°, γ = 113.77°
Fractional coordinates of all 8 atoms:
Sm: 0.554 0.108 0.750
Sm: 0.446 0.892 0.250
Mg: 0.150 0.301 0.444
Mg: 0.850 0.699 0.556
Mg: 0.850 0.699 0.944
Mg: 0.150 0.301 0.056
Cu: 0.263 0.526 0.750
Cu: 0.737 0.474 0.250

## Properties
Formation energy from the elements in eV/atom: -0.207
Crystal system: orthorhombic
E in eV for the cell shown: -140.83
N(E_F) in states/eV/atom: 0.52
Total magnetization in μB/atom: 0.000
Space group: Cmcm (63)

***

[5]
CdAgN2O at its PBEsol-relaxed geometry. Source: the Alexandria database, functional SCAN.

a = 4.179 Å, b = 4.194 Å, c = 4.194 Å
α = 90.00°, β = 90.00°, γ = 90.00°
Site moments in Bohr magnetons follow the coordinates.
Fractional coordinates of all 5 atoms:
N: 0.000 0.500 0.000  1.20
N: 0.000 0.000 0.500  1.20
O: 0.500 0.000 0.000  0.51
Cd: 0.000 0.000 0.000  0.08
Ag: 0.500 0.500 0.500  0.09

## Properties
Formation energy without anion corrections in eV/atom: 1.608
Crystal system: tetragonal
E in eV for the cell shown: -78.55
N(E_F) in states/eV/atom: 0.42
Total magnetization in μB/atom: 0.808
Space group: P4/mmm (123)

***

[6]
RbGaNi3 at its PBEsol-relaxed geometry. Source: the Alexandria database, functional SCAN.

a = 4.561 Å, b = 4.561 Å, c = 4.561 Å
α = 90.00°, β = 90.00°, γ = 90.00°
Fractional coordinates of all 5 atoms:
Ni: 0.000 0.000 0.500
Ni: 0.500 0.000 0.000
Ni: 0.000 0.500 0.000
Rb: 0.000 0.000 0.000
Ga: 0.500 0.500 0.500

## Properties
Formation energy from the elements in eV/atom: 2.255
Crystal system: cubic
E in eV for the cell shown: -74.33
N(E_F) in states/eV/atom: 0.34
Total magnetization in μB/atom: 0.000
Space group: Pm-3m (221)

***

[7]
VOF2 at its PBEsol-relaxed geometry. Source: the Alexandria database, functional SCAN.

a = 3.020 Å, b = 3.567 Å, c = 5.073 Å
α = 110.58°, β = 107.32°, γ = 90.00°
Site moments in Bohr magnetons follow the coordinates.
Fractional coordinates of all 4 atoms:
F: 0.637 0.137 0.274  0.01
F: 0.363 0.863 0.726  0.01
V: 0.000 0.000 0.000  1.07
O: 0.000 0.500 0.000  -0.12

## Properties
Formation energy without anion corrections in eV/atom: -2.844
Crystal system: orthorhombic
E in eV for the cell shown: -42.17
N(E_F) in states/eV/atom: 0.15
Total magnetization in μB/atom: 0.250
Space group: Immm (71)

***

[8]
SrSn2Pb2 at its PBEsol-relaxed geometry. Source: the Alexandria database, functional SCAN.

a = 4.268 Å, b = 8.477 Å, c = 8.477 Å
α = 90.00°, β = 90.00°, γ = 90.00°
Fractional coordinates of all 10 atoms:
Sr: 0.000 0.000 0.000
Sr: 0.000 0.500 0.500
Sn: 0.000 0.876 0.624
Sn: 0.000 0.624 0.124
Sn: 0.000 0.124 0.376
Sn: 0.000 0.376 0.876
Pb: 0.500 0.159 0.659
Pb: 0.500 0.841 0.341
Pb: 0.500 0.341 0.159
Pb: 0.500 0.659 0.841

## Properties
Formation energy from the elements in eV/atom: -0.280
Crystal system: tetragonal
E in eV for the cell shown: -494.16
N(E_F) in states/eV/atom: 0.28
Total magnetization in μB/atom: 0.000
Energy above the most stable polymorph in this dataset in meV per atom: 7
Space group: P4/mbm (127)

***

[9]
Zn2PbAu2 at its PBEsol-relaxed geometry. Source: the Alexandria database, functional SCAN.

a = 2.949 Å, b = 7.841 Å, c = 7.841 Å
α = 90.00°, β = 90.00°, γ = 90.00°
Fractional coordinates of all 10 atoms:
Au: 0.000 0.366 0.866
Au: 0.000 0.866 0.634
Au: 0.000 0.634 0.134
Au: 0.000 0.134 0.366
Zn: 0.500 0.661 0.839
Zn: 0.500 0.839 0.339
Zn: 0.500 0.339 0.161
Zn: 0.500 0.161 0.661
Pb: 0.000 0.000 0.000
Pb: 0.000 0.500 0.500

## Properties
Formation energy from the elements in eV/atom: -0.112
Crystal system: tetragonal
E in eV for the cell shown: -483.37
N(E_F) in states/eV/atom: 0.33
Total magnetization in μB/atom: 0.000
Energy above the most stable polymorph in this dataset in meV per atom: 72
Space group: P4/mbm (127)

***

[10]
LaMgOs2 at its PBEsol-relaxed geometry. Source: the Alexandria database, functional SCAN.

a = 3.211 Å, b = 5.037 Å, c = 5.343 Å
α = 118.12°, β = 107.49°, γ = 90.00°
Fractional coordinates of all 4 atoms:
La: 0.000 0.500 0.000
Mg: 0.500 0.000 0.000
Os: 0.248 0.248 0.496
Os: 0.752 0.752 0.504

## Properties
Formation energy from the elements in eV/atom: 0.541
Crystal system: orthorhombic
E in eV for the cell shown: -189.67
N(E_F) in states/eV/atom: 0.58
Total magnetization in μB/atom: 0.000
Space group: Immm (71)

***

[11]
VAgH2O4 at its PBEsol-relaxed geometry. Source: the Alexandria database, functional SCAN.

a = 3.662 Å, b = 6.932 Å, c = 15.354 Å
α = 90.00°, β = 90.00°, γ = 90.00°
Fractional coordinates of all 32 atoms:
V: 0.750 0.623 0.059
V: 0.250 0.377 0.941
V: 0.250 0.877 0.559
V: 0.750 0.123 0.441
O: 0.250 0.584 0.029
O: 0.250 0.660 0.277
O: 0.250 0.433 0.837
O: 0.750 0.840 0.777
O: 0.750 0.867 0.050
O: 0.250 0.160 0.223
O: 0.750 0.067 0.337
O: 0.250 0.933 0.663
O: 0.250 0.084 0.471
O: 0.750 0.916 0.529
O: 0.750 0.367 0.450
O: 0.750 0.567 0.163
O: 0.750 0.416 0.971
O: 0.750 0.340 0.723
O: 0.250 0.633 0.550
O: 0.250 0.133 0.950
H: 0.538 0.382 0.760
H: 0.462 0.118 0.260
H: 0.962 0.382 0.760
H: 0.038 0.618 0.240
H: 0.538 0.882 0.740
H: 0.462 0.618 0.240
H: 0.962 0.882 0.740
H: 0.038 0.118 0.260
Ag: 0.750 0.915 0.910
Ag: 0.250 0.085 0.090
Ag: 0.250 0.585 0.410
Ag: 0.750 0.415 0.590

## Properties
Crystal system: orthorhombic
E in eV for the cell shown: -371.01
N(E_F) in states/eV/atom: 0.00
Total magnetization in μB/atom: 0.000
Space group: Pnma (62)

***

[12]
YMgTlI2 at its PBEsol-relaxed geometry. Source: the Alexandria database, functional SCAN.

a = 5.440 Å, b = 5.440 Å, c = 5.652 Å
α = 90.00°, β = 90.00°, γ = 90.00°
Fractional coordinates of all 5 atoms:
Y: 0.500 0.500 0.500
Mg: 0.000 0.000 0.000
I: 0.000 0.500 0.000
I: 0.500 0.000 0.000
Tl: 0.000 0.000 0.500

## Properties
Formation energy without anion corrections in eV/atom: 0.005
Crystal system: tetragonal
E in eV for the cell shown: -178.63
N(E_F) in states/eV/atom: 0.90
Total magnetization in μB/atom: 0.000
Space group: P4/mmm (123)

***

[13]
ZnIrI3 at its PBEsol-relaxed geometry. Source: the Alexandria database, functional SCAN.

a = 5.339 Å, b = 5.339 Å, c = 5.339 Å
α = 90.00°, β = 90.00°, γ = 90.00°
Fractional coordinates of all 5 atoms:
Ir: 0.000 0.000 0.000
Zn: 0.500 0.500 0.500
I: 0.000 0.000 0.500
I: 0.000 0.500 0.000
I: 0.500 0.000 0.000

## Properties
Formation energy without anion corrections in eV/atom: 0.496
Crystal system: cubic
E in eV for the cell shown: -192.36
N(E_F) in states/eV/atom: 0.86
Total magnetization in μB/atom: 0.000
Energy above the most stable polymorph in this dataset in meV per atom: 0
Space group: Pm-3m (221)

***

[14]
LiScCo2Ge at its PBEsol-relaxed geometry. Source: the Alexandria database, functional SCAN.

a = 4.272 Å, b = 4.272 Å, c = 4.538 Å
α = 90.00°, β = 90.00°, γ = 90.00°
Site moments in Bohr magnetons follow the coordinates.
Fractional coordinates of all 5 atoms:
Co: 0.500 0.000 0.000  1.08
Co: 0.000 0.500 0.000  1.08
Ge: 0.500 0.500 0.500  -0.02
Sc: 0.000 0.000 0.000  -0.31
Li: 0.000 0.000 0.500  -0.01

## Properties
Formation energy from the elements in eV/atom: 1.181
Crystal system: tetragonal
E in eV for the cell shown: -64.42
N(E_F) in states/eV/atom: 0.56
Total magnetization in μB/atom: 0.371
Space group: P4/mmm (123)

***

[15]
K2CoSe2O6 at its PBEsol-relaxed geometry. Source: the Alexandria database, functional SCAN.

a = 5.485 Å, b = 5.485 Å, c = 6.907 Å
α = 90.64°, β = 113.03°, γ = 119.56°
Site moments in Bohr magnetons follow the coordinates.
Fractional coordinates of all 11 atoms:
O: 0.023 0.762 0.786  0.05
O: 0.977 0.238 0.214  0.05
O: 0.017 0.268 0.776  0.04
O: 0.508 0.758 0.776  0.04
O: 0.983 0.732 0.224  0.04
O: 0.492 0.242 0.224  0.04
Co: 0.000 0.000 0.000  2.67
Se: 0.265 0.633 0.898  0.00
Se: 0.735 0.367 0.102  0.00
K: 0.613 0.805 0.418  0.00
K: 0.387 0.195 0.582  0.00

## Properties
Formation energy without anion corrections in eV/atom: -1.404
Crystal system: monoclinic
E in eV for the cell shown: -126.95
N(E_F) in states/eV/atom: 0.00
Total magnetization in μB/atom: 0.273
Space group: C2/m (12)

***

[16]
Cu2Pt at its PBEsol-relaxed geometry. Source: the Alexandria database, functional SCAN.

a = 5.260 Å, b = 5.288 Å, c = 6.860 Å
α = 78.50°, β = 67.46°, γ = 60.18°
Fractional coordinates of all 12 atoms:
Cu: 0.006 0.992 0.995
Cu: 0.002 0.665 0.330
Cu: 0.506 0.998 0.991
Cu: 0.495 0.334 0.676
Cu: 0.005 0.506 0.997
Cu: 0.495 0.835 0.675
Cu: 0.492 0.506 0.997
Cu: 0.995 0.835 0.675
Pt: 0.506 0.162 0.327
Pt: 0.503 0.662 0.333
Pt: 0.990 0.342 0.679
Pt: 0.004 0.162 0.327

## Properties
Formation energy from the elements in eV/atom: -0.128
Crystal system: monoclinic
E in eV for the cell shown: -403.90
N(E_F) in states/eV/atom: 0.45
Total magnetization in μB/atom: 0.000
Energy above the most stable polymorph in this dataset in meV per atom: 36
Space group: Cm (8)

***

[17]
LiNbReNi2 at its PBEsol-relaxed geometry. Source: the Alexandria database, functional SCAN.

a = 4.564 Å, b = 4.564 Å, c = 4.681 Å
α = 90.00°, β = 90.00°, γ = 90.00°
Fractional coordinates of all 5 atoms:
Li: 0.500 0.500 0.500
Ni: 0.500 0.000 0.000
Ni: 0.000 0.500 0.000
Re: 0.000 0.000 0.000
Nb: 0.000 0.000 0.500

## Properties
Formation energy from the elements in eV/atom: 1.103
Crystal system: tetragonal
E in eV for the cell shown: -133.45
N(E_F) in states/eV/atom: 0.68
Total magnetization in μB/atom: 0.000
Space group: P4/mmm (123)

***

[18]
MgCd2In at its PBEsol-relaxed geometry. Source: the Alexandria database, functional SCAN.

a = 3.137 Å, b = 5.139 Å, c = 5.560 Å
α = 90.00°, β = 90.00°, γ = 93.89°
Fractional coordinates of all 4 atoms:
Mg: 0.500 0.500 0.500
Cd: 0.232 0.255 0.000
Cd: 0.768 0.745 0.000
In: 0.000 0.000 0.500

## Properties
Formation energy from the elements in eV/atom: -0.048
Crystal system: monoclinic
E in eV for the cell shown: -99.38
N(E_F) in states/eV/atom: 0.29
Total magnetization in μB/atom: 0.000
Space group: P2/m (10)

***

[19]
LaTeI2N at its PBEsol-relaxed geometry. Source: the Alexandria database, functional SCAN.

a = 3.985 Å, b = 6.197 Å, c = 6.197 Å
α = 90.00°, β = 90.00°, γ = 90.00°
Site moments in Bohr magnetons follow the coordinates.
Fractional coordinates of all 5 atoms:
I: 0.000 0.000 0.500  0.00
I: 0.000 0.500 0.000  0.00
La: 0.500 0.500 0.500  0.12
N: 0.500 0.000 0.000  0.00
Te: 0.000 0.000 0.000  0.00

## Properties
Formation energy without anion corrections in eV/atom: 0.159
Crystal system: tetragonal
E in eV for the cell shown: -162.34
N(E_F) in states/eV/atom: 0.76
Total magnetization in μB/atom: 0.035
Space group: P4/mmm (123)

***

[20]
Cd3Pt2 at its PBEsol-relaxed geometry. Source: the Alexandria database, functional SCAN.

a = 5.314 Å, b = 5.444 Å, c = 7.387 Å
α = 100.11°, β = 111.08°, γ = 60.79°
Fractional coordinates of all 10 atoms:
Pt: 0.896 0.544 0.094
Pt: 0.345 0.456 0.906
Pt: 0.689 0.956 0.594
Pt: 0.051 0.044 0.406
Cd: 0.175 0.500 0.500
Cd: 0.812 0.414 0.704
Cd: 0.358 0.914 0.796
Cd: 0.925 0.000 0.000
Cd: 0.476 0.086 0.204
Cd: 0.523 0.586 0.296

## Properties
Formation energy from the elements in eV/atom: -0.243
Crystal system: orthorhombic
E in eV for the cell shown: -465.69
N(E_F) in states/eV/atom: 0.28
Total magnetization in μB/atom: 0.000
Energy above the most stable polymorph in this dataset in meV per atom: 61
Space group: Fdd2 (43)